MoH2Ru, single point on PBEsol structure, DFT meta-GGA SCAN; space-group type = I-42d; total energy = -18.99 eV/atom; DOS(E_F) = 3.98 states/eV per cell; V = 8.706 Å³/atom; ρ = 9.49 g cm⁻³; total magnetic moment = 0.0 μB/f.u.
1.0
4.1315 0.0000 0.0000
0.0000 4.1315 0.0000
-2.0658 -2.0658 4.0802
Ru Mo H
2 2 4
direct
0.2500 0.7500 0.5000
0.0000 0.0000 0.0000
0.7500 0.2500 0.5000
0.5000 0.5000 0.0000
0.8920 0.3750 0.2500
0.3580 0.8750 0.2500
0.6250 0.6420 0.7500
0.1250 0.1080 0.7500